Record 1
First-principles (SCAN) data for TbPm3 at its PBEsol-relaxed geometry, as listed in the Alexandria database.

Lattice parameters (Å, degrees): 7.1518 7.1518 5.7376 90.00 90.00 120.00
Last column: nearest neighbours and their distance in Å.
Sites, in units of the cell vectors:
Tb: 0.3333 0.6667 0.2500  12 Pm 3.53-3.58
Tb: 0.6667 0.3333 0.7500  12 Pm 3.53-3.58
Pm: 0.1668 0.3336 0.7500  4 Tb 3.53-3.58, 8 Pm 3.54-3.58
Pm: 0.1668 0.8332 0.7500  4 Tb 3.53-3.58, 8 Pm 3.54-3.58
Pm: 0.3336 0.1668 0.2500  4 Tb 3.53-3.58, 8 Pm 3.54-3.58
Pm: 0.6664 0.8332 0.7500  4 Tb 3.53-3.58, 8 Pm 3.54-3.58
Pm: 0.8332 0.1668 0.2500  4 Tb 3.53-3.58, 8 Pm 3.54-3.58
Pm: 0.8332 0.6664 0.2500  4 Tb 3.53-3.58, 8 Pm 3.54-3.58

## Properties
Density of states at the Fermi level = 12.5 states/eV per cell
DFT formation energy = 25.0 meV/atom
VASP energy = -178.6 eV/f.u.



Record 2
First-principles (SCAN) data for PmTl3 at its PBEsol-relaxed geometry, as listed in the Alexandria database.

Lattice parameters (Å, degrees): 4.7044 4.7044 4.7044 90.00 90.00 90.00
Last column: nearest neighbours and their distance in Å.
Sites, in units of the cell vectors:
Pm: 0.0000 0.0000 0.0000  12 Tl 3.33
Tl: 0.0000 0.5000 0.5000  8 Tl 3.33, 4 Pm 3.33
Tl: 0.5000 0.0000 0.5000  8 Tl 3.33, 4 Pm 3.33
Tl: 0.5000 0.5000 0.0000  8 Tl 3.33, 4 Pm 3.33

## Properties
Density of states at the Fermi level = 2.0 states/eV per cell
DFT formation energy = -428.9 meV/atom
VASP energy = -262.8 eV/f.u.



Record 3
First-principles (SCAN) data for PmYTl2 at its PBEsol-relaxed geometry, as listed in the Alexandria database.

Lattice parameters (Å, degrees): 7.5385 7.5385 7.5385 90.00 90.00 90.00
Last column: nearest neighbours and their distance in Å.
Sites, in units of the cell vectors:
Pm: 0.0000 0.0000 0.0000  8 Tl 3.26
Pm: 0.0000 0.5000 0.5000  8 Tl 3.26
Pm: 0.5000 0.0000 0.5000  8 Tl 3.26
Pm: 0.5000 0.5000 0.0000  8 Tl 3.26
Y: 0.0000 0.0000 0.5000  8 Tl 3.26
Y: 0.0000 0.5000 0.0000  8 Tl 3.26
Y: 0.5000 0.0000 0.0000  8 Tl 3.26
Y: 0.5000 0.5000 0.5000  8 Tl 3.26
Tl: 0.2500 0.2500 0.2500  4 Pm 3.26, 4 Y 3.26
Tl: 0.2500 0.2500 0.7500  4 Pm 3.26, 4 Y 3.26
Tl: 0.2500 0.7500 0.2500  4 Pm 3.26, 4 Y 3.26
Tl: 0.2500 0.7500 0.7500  4 Pm 3.26, 4 Y 3.26
Tl: 0.7500 0.2500 0.2500  4 Pm 3.26, 4 Y 3.26
Tl: 0.7500 0.2500 0.7500  4 Pm 3.26, 4 Y 3.26
Tl: 0.7500 0.7500 0.2500  4 Pm 3.26, 4 Y 3.26
Tl: 0.7500 0.7500 0.7500  4 Pm 3.26, 4 Y 3.26

## Properties
Density of states at the Fermi level = 11.2 states/eV per cell
DFT formation energy = -602.1 meV/atom
VASP energy = -219.0 eV/f.u.



Record 4
First-principles (SCAN) data for Pm2TlZn at its PBEsol-relaxed geometry, as listed in the Alexandria database.

Lattice parameters (Å, degrees): 7.4365 7.4365 7.4365 90.00 90.00 90.00
Last column: nearest neighbours and their distance in Å.
Sites, in units of the cell vectors:
Pm: 0.2500 0.2500 0.2500  4 Tl 3.22, 4 Zn 3.22
Pm: 0.2500 0.2500 0.7500  4 Tl 3.22, 4 Zn 3.22
Pm: 0.2500 0.7500 0.2500  4 Tl 3.22, 4 Zn 3.22
Pm: 0.2500 0.7500 0.7500  4 Zn 3.22, 4 Tl 3.22
Pm: 0.7500 0.2500 0.2500  4 Tl 3.22, 4 Zn 3.22
Pm: 0.7500 0.2500 0.7500  4 Zn 3.22, 4 Tl 3.22
Pm: 0.7500 0.7500 0.2500  4 Zn 3.22, 4 Tl 3.22
Pm: 0.7500 0.7500 0.7500  4 Tl 3.22, 4 Zn 3.22
Tl: 0.0000 0.0000 0.0000  8 Pm 3.22
Tl: 0.0000 0.5000 0.5000  8 Pm 3.22
Tl: 0.5000 0.0000 0.5000  8 Pm 3.22
Tl: 0.5000 0.5000 0.0000  8 Pm 3.22
Zn: 0.0000 0.0000 0.5000  8 Pm 3.22
Zn: 0.0000 0.5000 0.0000  8 Pm 3.22
Zn: 0.5000 0.0000 0.0000  8 Pm 3.22
Zn: 0.5000 0.5000 0.5000  8 Pm 3.22

## Properties
Density of states at the Fermi level = 17.8 states/eV per cell
DFT formation energy = -493.1 meV/atom
VASP energy = -175.8 eV/f.u.



Record 5
First-principles (SCAN) data for PmTm at its PBEsol-relaxed geometry, as listed in the Alexandria database.

Lattice parameters (Å, degrees): 3.5442 3.5442 5.6003 90.00 90.00 120.00
Last column: nearest neighbours and their distance in Å.
Sites, in units of the cell vectors:
Pm: 0.0000 0.0000 0.0000  6 Tm 3.47, 6 Pm 3.54
Tm: 0.3333 0.6667 0.5000  6 Pm 3.47, 6 Tm 3.54

## Properties
Density of states at the Fermi level = 3.1 states/eV per cell
DFT formation energy = 34.1 meV/atom
VASP energy = -95.7 eV/f.u.



Record 6
First-principles (SCAN) data for PmYZn2 at its PBEsol-relaxed geometry, as listed in the Alexandria database.

Lattice parameters (Å, degrees): 7.1032 7.1032 7.1032 90.00 90.00 90.00
Last column: nearest neighbours and their distance in Å.
Sites, in units of the cell vectors:
Pm: 0.0000 0.0000 0.0000  8 Zn 3.08
Pm: 0.0000 0.5000 0.5000  8 Zn 3.08
Pm: 0.5000 0.0000 0.5000  8 Zn 3.08
Pm: 0.5000 0.5000 0.0000  8 Zn 3.08
Y: 0.0000 0.0000 0.5000  8 Zn 3.08
Y: 0.0000 0.5000 0.0000  8 Zn 3.08
Y: 0.5000 0.0000 0.0000  8 Zn 3.08
Y: 0.5000 0.5000 0.5000  8 Zn 3.08
Zn: 0.2500 0.2500 0.2500  4 Pm 3.08, 4 Y 3.08
Zn: 0.2500 0.2500 0.7500  4 Pm 3.08, 4 Y 3.08
Zn: 0.2500 0.7500 0.2500  4 Pm 3.08, 4 Y 3.08
Zn: 0.2500 0.7500 0.7500  4 Pm 3.08, 4 Y 3.08
Zn: 0.7500 0.2500 0.2500  4 Pm 3.08, 4 Y 3.08
Zn: 0.7500 0.2500 0.7500  4 Pm 3.08, 4 Y 3.08
Zn: 0.7500 0.7500 0.2500  4 Pm 3.08, 4 Y 3.08
Zn: 0.7500 0.7500 0.7500  4 Pm 3.08, 4 Y 3.08

## Properties
Density of states at the Fermi level = 18.0 states/eV per cell
DFT formation energy = -412.7 meV/atom
VASP energy = -100.5 eV/f.u.



Record 7
First-principles (SCAN) data for PmZn3 at its PBEsol-relaxed geometry, as listed in the Alexandria database.

Lattice parameters (Å, degrees): 6.3337 6.3337 4.3294 90.00 90.00 120.00
Last column: nearest neighbours and their distance in Å.
Sites, in units of the cell vectors:
Pm: 0.3333 0.6667 0.2500  12 Zn 3.00-3.18
Pm: 0.6667 0.3333 0.7500  12 Zn 3.00-3.18
Zn: 0.1442 0.2884 0.7500  6 Zn 2.68-2.74, 2 Pm 3.00
Zn: 0.1442 0.8558 0.7500  6 Zn 2.68-2.74, 2 Pm 3.00
Zn: 0.2884 0.1442 0.2500  6 Zn 2.68-2.74, 2 Pm 3.00
Zn: 0.7116 0.8558 0.7500  6 Zn 2.68-2.74, 2 Pm 3.00
Zn: 0.8558 0.1442 0.2500  6 Zn 2.68-2.74, 2 Pm 3.00
Zn: 0.8558 0.7116 0.2500  6 Zn 2.68-2.74, 2 Pm 3.00

## Properties
Density of states at the Fermi level = 5.1 states/eV per cell
DFT formation energy = -369.2 meV/atom
VASP energy = -86.0 eV/f.u.



Record 8
First-principles (SCAN) data for PrPt2 at its PBEsol-relaxed geometry, as listed in the Alexandria database.

Lattice parameters (Å, degrees): 5.4564 5.4564 5.4564 60.00 60.00 60.00
Last column: nearest neighbours and their distance in Å.
Sites, in units of the cell vectors:
Pr: 0.1250 0.1250 0.1250  12 Pt 3.20, 4 Pr 3.34
Pr: 0.8750 0.8750 0.8750  12 Pt 3.20, 4 Pr 3.34
Pt: 0.0000 0.5000 0.5000  6 Pt 2.73
Pt: 0.5000 0.0000 0.5000  6 Pt 2.73
Pt: 0.5000 0.5000 0.0000  6 Pt 2.73
Pt: 0.5000 0.5000 0.5000  6 Pt 2.73

## Properties
Density of states at the Fermi level = 2.0 states/eV per cell
DFT formation energy = -1214.5 meV/atom
VASP energy = -187.4 eV/f.u.